Density functional theory data (PBE) for Tl3Cd4In2 after structural relaxation.

Values from the calculation:
**E above lowest polymorph**: 0.000 eV/atom
**Formation energy from the elements**: 0.042 eV per atom
**DFT total energy**: -1.76 eV/atom

a b c (Å): 4.843 7.418 7.560
angles (deg): 69.68 89.54 71.87
Positions (direct):
1 Tl 0.000 0.000 0.000
2 Tl 0.452 0.096 0.680
3 Tl 0.548 0.904 0.320
4 Cd 0.111 0.772 0.657
5 Cd 0.321 0.359 0.995
6 Cd 0.679 0.641 0.005
7 Cd 0.889 0.228 0.343
8 In 0.230 0.544 0.335
9 In 0.770 0.456 0.665